1.
This record from Alexandria describes a relaxed TbGdYTl crystal. The functional is PBE.

Cell lengths 5.4939, 5.4939, 5.4939 Å; angles 60.00, 60.00, 60.00 degrees
Last column: nearest neighbours and their distance in Å.
Element x y z (fractional)
Y1 0.2500 0.2500 0.2500  4 Tl 3.36, 4 Tb 3.36
Tl1 0.0000 0.0000 0.0000  4 Y 3.36, 4 Gd 3.36
Gd1 0.7500 0.7500 0.7500  4 Tl 3.36, 4 Tb 3.36
Tb1 0.5000 0.5000 0.5000  4 Gd 3.36, 4 Y 3.36

Results
* total energy: -6.945 eV per atom
* theoretical density: 8.63 g/cm3
* M_tot: 8.7 μB per formula unit


2.
This record from Alexandria describes a relaxed Tb2GdTm crystal. The functional is PBE.

Cell lengths 3.5508, 3.5508, 11.7402 Å; angles 81.30, 81.30, 60.00 degrees
Last column: nearest neighbours and their distance in Å.
Element x y z (fractional)
Gd1 0.5000 0.5000 0.5000  6 Gd 3.55, 6 Tb 3.57
Tm1 0.0000 0.0000 0.0000  6 Tb 3.51, 6 Tm 3.55
Tb1 0.7489 0.7489 0.7533  3 Tm 3.51, 6 Tb 3.55, 3 Gd 3.57
Tb2 0.2511 0.2511 0.2467  3 Tm 3.51, 6 Tb 3.55, 3 Gd 3.57

Results
* total energy: -6.931 eV per atom
* theoretical density: 8.47 g/cm3
* M_tot: 7.3 μB per formula unit


3.
This record from Alexandria describes a relaxed Tb12Gd3Tm5 crystal. The functional is PBE.

Cell lengths 16.3337, 16.3337, 16.3337 Å; angles 109.47, 109.47, 109.47 degrees
Last column: nearest neighbours and their distance in Å.
Element x y z (fractional)
Gd1 0.7500 0.3750 0.1250  8 Tb 3.24-3.49
Gd2 0.8750 0.7500 0.1250  8 Tb 3.24-3.49
Gd3 0.3750 0.7500 0.6250  8 Tb 3.24-3.49
Gd4 0.2500 0.1250 0.3750  8 Tb 3.24-3.49
Gd5 0.8750 0.1250 0.2500  8 Tb 3.24-3.49
Gd6 0.3750 0.6250 0.2500  8 Tb 3.24-3.49
Gd7 0.6250 0.3750 0.7500  8 Tb 3.24-3.49
Gd8 0.1250 0.8750 0.7500  8 Tb 3.24-3.49
Gd9 0.7500 0.8750 0.6250  8 Tb 3.24-3.49
Gd10 0.6250 0.2500 0.3750  8 Tb 3.24-3.49
Gd11 0.1250 0.2500 0.8750  8 Tb 3.24-3.49
Gd12 0.2500 0.6250 0.8750  8 Tb 3.24-3.49
Tm1 0.1250 0.3750 0.2500  4 Tb 3.33
Tm2 0.0000 0.5000 0.0000  6 Tb 3.15
Tm3 0.0000 0.0000 0.0000  6 Tb 3.15
Tm4 0.3750 0.2500 0.1250  4 Tb 3.33
Tm5 0.5000 0.0000 0.5000  6 Tb 3.15
Tm6 0.5000 0.5000 0.0000  6 Tb 3.15
Tm7 0.1250 0.7500 0.3750  4 Tb 3.33
Tm8 0.7500 0.1250 0.8750  4 Tb 3.33
Tm9 0.7500 0.6250 0.3750  4 Tb 3.33
Tm10 0.3750 0.1250 0.7500  4 Tb 3.33
Tm11 0.6250 0.8750 0.2500  4 Tb 3.33
Tm12 0.5000 0.5000 0.5000  6 Tb 3.15
Tm13 0.5000 0.0000 0.0000  6 Tb 3.15
Tm14 0.0000 0.0000 0.5000  6 Tb 3.15
Tm15 0.2500 0.3750 0.6250  4 Tb 3.33
Tm16 0.2500 0.8750 0.1250  4 Tb 3.33
Tm17 0.0000 0.5000 0.5000  6 Tb 3.15
Tm18 0.8750 0.2500 0.6250  4 Tb 3.33
Tm19 0.6250 0.7500 0.8750  4 Tb 3.33
Tm20 0.8750 0.6250 0.7500  4 Tb 3.33
Tb1 0.7263 0.1404 0.0738  2 Tm 3.15-3.33, 2 Gd 3.24-3.49, 1 Tb 3.38
Tb2 0.3474 0.5738 0.4334  2 Tm 3.15-3.33, 2 Gd 3.24-3.49, 1 Tb 3.38
Tb3 0.9262 0.3596 0.2737  2 Tm 3.15-3.33, 2 Gd 3.24-3.49, 1 Tb 3.38
Tb4 0.5738 0.2263 0.1404  2 Tm 3.15-3.33, 2 Gd 3.24-3.49, 1 Tb 3.38
Tb5 0.5859 0.7263 0.6526  2 Tm 3.15-3.33, 2 Gd 3.24-3.49, 1 Tb 3.38
Tb6 0.9262 0.5666 0.1526  2 Tm 3.15-3.33, 2 Gd 3.24-3.49, 1 Tb 3.38
Tb7 0.3474 0.7737 0.4141  2 Tm 3.15-3.33, 2 Gd 3.24-3.49, 1 Tb 3.38
Tb8 0.0666 0.9141 0.1404  2 Tm 3.15-3.33, 2 Gd 3.24-3.49, 1 Tb 3.38
Tb9 0.5666 0.9262 0.6526  2 Tm 3.15-3.33, 2 Gd 3.24-3.49, 1 Tb 3.38
Tb10 0.7263 0.5859 0.1526  2 Tm 3.15-3.33, 2 Gd 3.24-3.49, 1 Tb 3.38
Tb11 0.7737 0.4262 0.3596  2 Tm 3.15-3.33, 2 Gd 3.24-3.49, 1 Tb 3.38
Tb12 0.8474 0.9334 0.0738  2 Tm 3.15-3.33, 2 Gd 3.24-3.49, 1 Tb 3.38
Tb13 0.1404 0.7263 0.5738  2 Tm 3.15-3.33, 2 Gd 3.24-3.49, 1 Tb 3.38
Tb14 0.3596 0.4334 0.0859  2 Tm 3.15-3.33, 2 Gd 3.24-3.49, 1 Tb 3.38
Tb15 0.0859 0.9334 0.3596  2 Tm 3.15-3.33, 2 Gd 3.24-3.49, 1 Tb 3.38
Tb16 0.4141 0.1404 0.5666  2 Tm 3.15-3.33, 2 Gd 3.24-3.49, 1 Tb 3.38
Tb17 0.0859 0.1526 0.2263  2 Tm 3.15-3.33, 2 Gd 3.24-3.49, 1 Tb 3.38
Tb18 0.4262 0.6526 0.0666  2 Tm 3.15-3.33, 2 Gd 3.24-3.49, 1 Tb 3.38
Tb19 0.8474 0.9141 0.2737  2 Tm 3.15-3.33, 2 Gd 3.24-3.49, 1 Tb 3.38
Tb20 0.1404 0.4141 0.0666  2 Tm 3.15-3.33, 2 Gd 3.24-3.49, 1 Tb 3.38
Tb21 0.3596 0.9262 0.7737  2 Tm 3.15-3.33, 2 Gd 3.24-3.49, 1 Tb 3.38
Tb22 0.5666 0.6404 0.4141  2 Tm 3.15-3.33, 2 Gd 3.24-3.49, 1 Tb 3.38
Tb23 0.9334 0.8474 0.5738  2 Tm 3.15-3.33, 2 Gd 3.24-3.49, 1 Tb 3.38
Tb24 0.7737 0.3474 0.9141  2 Tm 3.15-3.33, 2 Gd 3.24-3.49, 1 Tb 3.38
Tb25 0.4334 0.3596 0.5859  2 Tm 3.15-3.33, 2 Gd 3.24-3.49, 1 Tb 3.38
Tb26 0.0666 0.1526 0.4262  2 Tm 3.15-3.33, 2 Gd 3.24-3.49, 1 Tb 3.38
Tb27 0.2263 0.6526 0.0859  2 Tm 3.15-3.33, 2 Gd 3.24-3.49, 1 Tb 3.38
Tb28 0.1526 0.0859 0.7263  2 Tm 3.15-3.33, 2 Gd 3.24-3.49, 1 Tb 3.38
Tb29 0.6404 0.0738 0.2263  2 Tm 3.15-3.33, 2 Gd 3.24-3.49, 1 Tb 3.38
Tb30 0.8596 0.5859 0.9334  2 Tm 3.15-3.33, 2 Gd 3.24-3.49, 1 Tb 3.38
Tb31 0.5738 0.3474 0.9334  2 Tm 3.15-3.33, 2 Gd 3.24-3.49, 1 Tb 3.38
Tb32 0.5859 0.8596 0.4334  2 Tm 3.15-3.33, 2 Gd 3.24-3.49, 1 Tb 3.38
Tb33 0.9141 0.8474 0.7737  2 Tm 3.15-3.33, 2 Gd 3.24-3.49, 1 Tb 3.38
Tb34 0.9141 0.0666 0.6404  2 Tm 3.15-3.33, 2 Gd 3.24-3.49, 1 Tb 3.38
Tb35 0.8596 0.2737 0.4262  2 Tm 3.15-3.33, 2 Gd 3.24-3.49, 1 Tb 3.38
Tb36 0.1526 0.0666 0.9262  2 Tm 3.15-3.33, 2 Gd 3.24-3.49, 1 Tb 3.38
Tb37 0.6404 0.5666 0.9141  2 Tm 3.15-3.33, 2 Gd 3.24-3.49, 1 Tb 3.38
Tb38 0.4334 0.0738 0.3474  2 Tm 3.15-3.33, 2 Gd 3.24-3.49, 1 Tb 3.38
Tb39 0.2737 0.4141 0.8474  2 Tm 3.15-3.33, 2 Gd 3.24-3.49, 1 Tb 3.38
Tb40 0.2263 0.5738 0.6404  2 Tm 3.15-3.33, 2 Gd 3.24-3.49, 1 Tb 3.38
Tb41 0.9334 0.0859 0.8596  2 Tm 3.15-3.33, 2 Gd 3.24-3.49, 1 Tb 3.38
Tb42 0.6526 0.2263 0.5859  2 Tm 3.15-3.33, 2 Gd 3.24-3.49, 1 Tb 3.38
Tb43 0.4262 0.7737 0.8596  2 Tm 3.15-3.33, 2 Gd 3.24-3.49, 1 Tb 3.38
Tb44 0.0738 0.4334 0.8474  2 Tm 3.15-3.33, 2 Gd 3.24-3.49, 1 Tb 3.38
Tb45 0.4141 0.2737 0.3474  2 Tm 3.15-3.33, 2 Gd 3.24-3.49, 1 Tb 3.38
Tb46 0.0738 0.6404 0.7263  2 Tm 3.15-3.33, 2 Gd 3.24-3.49, 1 Tb 3.38
Tb47 0.6526 0.4262 0.5666  2 Tm 3.15-3.33, 2 Gd 3.24-3.49, 1 Tb 3.38
Tb48 0.2737 0.8596 0.9262  2 Tm 3.15-3.33, 2 Gd 3.24-3.49, 1 Tb 3.38

Results
* total energy: -4.966 eV per atom
* theoretical density: 6.38 g/cm3
* M_tot: 25.0 μB per formula unit


4.
This record from Alexandria describes a relaxed TbGd2Tm crystal. The functional is PBE.

Cell lengths 5.6560, 5.6560, 5.6560 Å; angles 60.00, 60.00, 60.00 degrees
Last column: nearest neighbours and their distance in Å.
Element x y z (fractional)
Gd1 0.2500 0.2500 0.2500  4 Tb 3.46, 4 Tm 3.46
Gd2 0.7500 0.7500 0.7500  4 Tm 3.46, 4 Tb 3.46
Tm1 0.5000 0.5000 0.5000  8 Gd 3.46
Tb1 0.0000 0.0000 0.0000  8 Gd 3.46

Results
* total energy: -9.215 eV per atom
* theoretical density: 8.34 g/cm3
* M_tot: 15.9 μB per formula unit


5.
This record from Alexandria describes a relaxed Tb2GdTm crystal. The functional is PBE.

Cell lengths 3.5440, 3.5440, 10.0436 Å; angles 90.00, 90.00, 90.00 degrees
Last column: nearest neighbours and their distance in Å.
Element x y z (fractional)
Gd1 0.5000 0.5000 0.5000  4 Gd 3.54, 8 Tb 3.58
Tm1 0.5000 0.5000 0.0000  8 Tb 3.52, 4 Tm 3.54
Tb1 0.0000 0.0000 0.7541  4 Tm 3.52, 4 Tb 3.54, 4 Gd 3.58
Tb2 0.0000 0.0000 0.2459  4 Tm 3.52, 4 Tb 3.54, 4 Gd 3.58

Results
* total energy: -6.931 eV per atom
* theoretical density: 8.48 g/cm3
* M_tot: 7.2 μB per formula unit


6.
This record from Alexandria describes a relaxed TbGd2Tm crystal. The functional is PBE.

Cell lengths 5.0136, 5.0212, 5.0212 Å; angles 90.00, 90.00, 90.00 degrees
Last column: nearest neighbours and their distance in Å.
Element x y z (fractional)
Gd1 0.0000 0.0000 0.5000  4 Tb 3.55, 4 Tm 3.55, 4 Gd 3.55
Gd2 0.0000 0.5000 0.0000  4 Tb 3.55, 4 Tm 3.55, 4 Gd 3.55
Tm1 0.5000 0.0000 0.0000  8 Gd 3.55, 4 Tb 3.55
Tb1 0.5000 0.5000 0.5000  8 Gd 3.55, 4 Tm 3.55

Results
* total energy: -9.289 eV per atom
* theoretical density: 8.44 g/cm3
* M_tot: 14.5 μB per formula unit